VASP calculation (PBE-GGA) on a relaxed structure of NdTe.

a b c (Å): 4.500 4.500 4.500
angles (deg): 60.00 60.00 60.00
Fractional coordinates of all 2 atoms:
1 Te 0.500 0.500 0.500
2 Nd 0.000 0.000 0.000

Computed properties:
Energy relative to the elements, uncorrected = -1.4185 eV/atom
Density of states at the Fermi level = 1.6 states/eV/cell

=====

VASP calculation (PBE-GGA) on a relaxed structure of Pr2Tl8Ag.

a b c (Å): 4.945 4.945 12.699
angles (deg): 90.00 90.00 90.00
Fractional coordinates of all 11 atoms:
1 Pr 0.000 0.000 0.312
2 Pr 0.000 0.000 0.688
3 Tl 0.000 0.500 0.500
4 Tl 0.500 0.000 0.500
5 Tl 0.500 0.500 0.313
6 Tl 0.500 0.500 0.687
7 Tl 0.000 0.500 0.131
8 Tl 0.500 0.000 0.131
9 Tl 0.000 0.500 0.869
10 Tl 0.500 0.000 0.869
11 Ag 0.000 0.000 0.000

Computed properties:
E_form = -18 kJ/mol of atoms
Density of states at the Fermi level = 5.4 states/eV/cell

=====

VASP calculation (PBE-GGA) on a relaxed structure of K2YZrF.

a b c (Å): 7.224 5.324 7.224
angles (deg): 90.00 90.00 90.00
Site moments in Bohr magnetons follow the coordinates.
Fractional coordinates of all 5 atoms:
1 Y 0.000 0.000 0.000  0.16
2 K 0.000 0.000 0.500  0.01
3 K 0.500 0.000 0.000  0.02
4 Zr 0.000 0.500 0.000  0.38
5 F 0.500 0.500 0.500  0.01

Computed properties:
Energy relative to the elements, uncorrected = 0.6827 eV/atom
Density of states at the Fermi level = 5.9 states/eV/cell

=====

VASP calculation (PBE-GGA) on a relaxed structure of CaNd4Pb4.

a b c (Å): 6.466 10.060 10.060
angles (deg): 90.00 90.00 90.00
Fractional coordinates of all 18 atoms:
1 Ca 0.000 0.000 0.000
2 Ca 0.500 0.500 0.500
3 Nd 0.381 0.326 0.905
4 Nd 0.881 0.595 0.826
5 Nd 0.381 0.674 0.095
6 Nd 0.119 0.174 0.595
7 Nd 0.619 0.905 0.674
8 Nd 0.119 0.826 0.405
9 Nd 0.881 0.405 0.174
10 Nd 0.619 0.095 0.326
11 Pb 0.617 0.776 0.377
12 Pb 0.617 0.224 0.623
13 Pb 0.117 0.877 0.724
14 Pb 0.883 0.276 0.877
15 Pb 0.883 0.724 0.123
16 Pb 0.383 0.377 0.224
17 Pb 0.383 0.623 0.776
18 Pb 0.117 0.123 0.276

Computed properties:
E_form = -32 kJ/mol of atoms
Density of states at the Fermi level = 19.0 states/eV/cell

=====

VASP calculation (PBE-GGA) on a relaxed structure of Tl3SiBi.

a b c (Å): 5.367 5.367 5.367
angles (deg): 90.00 90.00 90.00
Fractional coordinates of all 5 atoms:
1 Tl 0.000 0.500 0.000
2 Tl 0.000 0.000 0.500
3 Tl 0.500 0.000 0.000
4 Si 0.000 0.000 0.000
5 Bi 0.500 0.500 0.500

Computed properties:
Offset from the most stable computed form = 0.000 eV/atom
Energy relative to the elements, uncorrected = 0.3724 eV/atom
Density of states at the Fermi level = 3.0 states/eV/cell

=====

VASP calculation (PBE-GGA) on a relaxed structure of CePr4Te7.

a b c (Å): 4.395 7.751 13.593
angles (deg): 104.03 90.00 106.47
Site moments in Bohr magnetons follow the coordinates.
Fractional coordinates of all 12 atoms:
1 Ce 0.884 0.768 0.576  1.01
2 Pr 0.700 0.399 0.811  0.01
3 Pr 0.301 0.601 0.190  0.01
4 Pr 0.000 0.000 0.000  0.00
5 Pr 0.116 0.233 0.424  0.04
6 Te 0.741 0.482 0.348  -0.01
7 Te 0.260 0.520 0.652  -0.01
8 Te 0.338 0.677 0.952  0.00
9 Te 0.662 0.323 0.048  0.00
10 Te 0.038 0.075 0.783  -0.01
11 Te 0.962 0.924 0.217  0.00
12 Te 0.499 0.998 0.499  -0.01

Computed properties:
Energy relative to the elements, uncorrected = -1.4193 eV/atom
Density of states at the Fermi level = 9.7 states/eV/cell

=====

VASP calculation (PBE-GGA) on a relaxed structure of GaNi2Ru.

a b c (Å): 3.819 3.619 3.619
angles (deg): 90.00 90.00 90.00
Site moments in Bohr magnetons follow the coordinates.
Fractional coordinates of all 4 atoms:
1 Ru 0.500 0.500 0.500  0.35
2 Ga 0.500 0.000 0.000  -0.01
3 Ni 0.000 0.000 0.500  0.33
4 Ni 0.000 0.500 0.000  0.33

Computed properties:
E_form = -12 kJ/mol of atoms
Density of states at the Fermi level = 4.9 states/eV/cell

=====

VASP calculation (PBE-GGA) on a relaxed structure of BaDyPd.

a b c (Å): 3.737 3.737 7.328
angles (deg): 104.77 104.77 90.00
Fractional coordinates of all 3 atoms:
1 Ba 0.023 0.023 0.046
2 Pd 0.694 0.694 0.387
3 Dy 0.284 0.284 0.567

Computed properties:
E_form = -40 kJ/mol of atoms
Density of states at the Fermi level = 2.5 states/eV/cell